An optimized crystal structure of Pr2Mn2Zn15. Source: Alexandria, functional PBE.

Properties
As for the calculated formation energy: -0.183 eV/atom. As for the space group: R-3m, No. 166.

Cell lengths 6.8648, 6.8648, 6.8648 Å; angles 82.54, 82.54, 82.54 degrees
Positions (direct):
Pr 0.1621 0.1621 0.1621
Pr 0.8379 0.8379 0.8379
Mn 0.4009 0.4009 0.4009
Mn 0.5991 0.5991 0.5991
Zn 0.0000 0.5000 0.5000
Zn 0.1494 0.1494 0.6529
Zn 0.1494 0.6529 0.1494
Zn 0.2169 0.5000 0.7831
Zn 0.2169 0.7831 0.5000
Zn 0.3471 0.8506 0.8506
Zn 0.5000 0.0000 0.5000
Zn 0.5000 0.2169 0.7831
Zn 0.5000 0.5000 0.0000
Zn 0.5000 0.7831 0.2169
Zn 0.6529 0.1494 0.1494
Zn 0.7831 0.2169 0.5000
Zn 0.7831 0.5000 0.2169
Zn 0.8506 0.3471 0.8506
Zn 0.8506 0.8506 0.3471


An optimized crystal structure of PrMnZn4. Source: Alexandria, functional PBE.

Properties
As for the calculated formation energy: -0.078 eV/atom. As for the space group: F-43m, No. 216.

Cell lengths 5.3154, 5.3154, 5.3154 Å; angles 60.00, 60.00, 60.00 degrees
Positions (direct):
Pr 0.0000 0.0000 0.0000
Mn 0.2500 0.2500 0.2500
Zn 0.1296 0.6235 0.6235
Zn 0.6235 0.1296 0.6235
Zn 0.6235 0.6235 0.1296
Zn 0.6235 0.6235 0.6235


An optimized crystal structure of MnPt2. Source: Alexandria, functional PBE.

Properties
As for the calculated formation energy: 0.326 eV/atom. As for the space group: Pa-3, No. 205.

Cell lengths 5.9244, 5.9244, 5.9244 Å; angles 90.00, 90.00, 90.00 degrees
Positions (direct):
Mn 0.0000 0.0000 0.0000
Mn 0.0000 0.5000 0.5000
Mn 0.5000 0.0000 0.5000
Mn 0.5000 0.5000 0.0000
Pt 0.1273 0.6273 0.8727
Pt 0.1273 0.8727 0.3727
Pt 0.3727 0.1273 0.8727
Pt 0.3727 0.3727 0.3727
Pt 0.6273 0.6273 0.6273
Pt 0.6273 0.8727 0.1273
Pt 0.8727 0.1273 0.6273
Pt 0.8727 0.3727 0.1273


An optimized crystal structure of MnPt3. Source: Alexandria, functional PBE.

Properties
As for the calculated formation energy: -0.019 eV/atom. As for the space group: Pm-3n, No. 223.

Cell lengths 5.0243, 5.0243, 5.0243 Å; angles 90.00, 90.00, 90.00 degrees
Positions (direct):
Mn 0.0000 0.0000 0.0000
Mn 0.5000 0.5000 0.5000
Pt 0.0000 0.2500 0.5000
Pt 0.0000 0.7500 0.5000
Pt 0.2500 0.5000 0.0000
Pt 0.5000 0.0000 0.2500
Pt 0.5000 0.0000 0.7500
Pt 0.7500 0.5000 0.0000


An optimized crystal structure of MnPt. Source: Alexandria, functional PBE.

Properties
As for the calculated formation energy: -0.126 eV/atom. As for the space group: P-6m2, No. 187.

Cell lengths 2.8753, 2.8753, 4.3026 Å; angles 90.00, 90.00, 120.00 degrees
Positions (direct):
Mn 0.0000 0.0000 0.0000
Pt 0.6667 0.3333 0.5000


An optimized crystal structure of MnPt3. Source: Alexandria, functional PBE.

Properties
As for the calculated formation energy: -0.277 eV/atom. As for the space group: Cmmm, No. 65.

Cell lengths 4.7785, 4.7785, 2.8399 Å; angles 90.00, 90.00, 108.50 degrees
Positions (direct):
Mn 0.0000 0.0000 0.0000
Pt 0.0000 0.5000 0.5000
Pt 0.5000 0.0000 0.5000
Pt 0.5000 0.5000 0.0000


An optimized crystal structure of Mn2Pt3. Source: Alexandria, functional PBE.

Properties
As for the calculated formation energy: -0.148 eV/atom. As for the space group: P-3m1, No. 164.

Cell lengths 4.2460, 4.2460, 5.2550 Å; angles 90.00, 90.00, 120.00 degrees
Positions (direct):
Mn 0.3333 0.6667 0.3278
Mn 0.6667 0.3333 0.6722
Pt 0.0000 0.0000 0.5000
Pt 0.3333 0.6667 0.8392
Pt 0.6667 0.3333 0.1608


An optimized crystal structure of Mn3Pt. Source: Alexandria, functional PBE.

Properties
As for the calculated formation energy: -0.016 eV/atom. As for the space group: Pm-3m, No. 221.

Cell lengths 3.6431, 3.6431, 3.6431 Å; angles 90.00, 90.00, 90.00 degrees
Positions (direct):
Mn 0.0000 0.0000 0.5000
Mn 0.0000 0.5000 0.0000
Mn 0.5000 0.0000 0.0000
Pt 0.5000 0.5000 0.5000


An optimized crystal structure of Mn4Pt5. Source: Alexandria, functional PBE.

Properties
As for the calculated formation energy: -0.104 eV/atom. As for the space group: I4/mmm, No. 139.

Cell lengths 5.9745, 5.9745, 5.9745 Å; angles 95.84, 95.84, 142.78 degrees
Positions (direct):
Mn 0.0000 0.3582 0.3582
Mn 0.0000 0.6418 0.6418
Mn 0.3582 0.0000 0.3582
Mn 0.6418 0.0000 0.6418
Pt 0.0000 0.0000 0.0000
Pt 0.3289 0.3289 0.6578
Pt 0.3289 0.6711 0.0000
Pt 0.6711 0.3289 0.0000
Pt 0.6711 0.6711 0.3422


An optimized crystal structure of MnPt2. Source: Alexandria, functional PBE.

Properties
As for the calculated formation energy: -0.205 eV/atom. As for the space group: Cm, No. 8.

Cell lengths 5.3358, 5.3358, 6.5553 Å; angles 103.64, 103.64, 30.78 degrees
Positions (direct):
Mn 0.0000 0.0000 0.0000
Mn 0.6872 0.6872 0.3575
Pt 0.0673 0.0673 0.6195
Pt 0.3423 0.3423 0.6837
Pt 0.4085 0.4085 0.2844
Pt 0.7208 0.7208 0.9687


An optimized crystal structure of MnPt5. Source: Alexandria, functional PBE.

Properties
As for the calculated formation energy: -0.174 eV/atom. As for the space group: P-62m, No. 189.

Cell lengths 4.8199, 4.8199, 4.6087 Å; angles 90.00, 90.00, 120.00 degrees
Positions (direct):
Mn 0.0000 0.0000 0.0000
Pt 0.0000 0.6658 0.5000
Pt 0.3333 0.6667 0.0000
Pt 0.3342 0.3342 0.5000
Pt 0.6658 0.0000 0.5000
Pt 0.6667 0.3333 0.0000


An optimized crystal structure of MnPt. Source: Alexandria, functional PBE.

Properties
As for the calculated formation energy: -0.231 eV/atom. As for the space group: Cm, No. 8.

Cell lengths 5.0902, 5.0902, 6.9069 Å; angles 108.21, 108.21, 33.05 degrees
Positions (direct):
Mn 0.0000 0.0000 0.0000
Mn 0.0633 0.0633 0.6007
Mn 0.7083 0.7083 0.3328
Pt 0.3488 0.3488 0.6681
Pt 0.4253 0.4253 0.2752
Pt 0.7096 0.7096 0.9318